# 1
A relaxed Mg2BeNbI crystal. Source: the Alexandria database, functional PBE.

```
Mg2BeNbI
1.0
-4.0676 -3.1455 2.5892
2.6726 -0.6351 3.4271
-2.0800 4.7493 2.5021
I Be Nb Mg
1 1 1 2
Cartesian
-1.7375 0.4844 4.2592 I
1.3363 -0.3175 1.7136 Be
0.0000 0.0000 0.0000 Nb
-1.0400 2.3747 1.2511 Mg
-2.0338 -1.5727 1.2946 Mg
```

Values from the calculation:
E, eV for the cell shown: -12.79
SG: P4/mmm
Density of states at the Fermi level, states/eV per atom: 0.81

---

# 2
A relaxed MgBe2IO6 crystal. Source: the Alexandria database, functional PBE.

```
MgBe2IO6
1.0
-4.8199 2.3102 1.2366
-4.0630 -1.0953 -5.0606
-3.7650 -4.6502 2.7418
Mg Be I O
2 4 2 12
Cartesian
-5.2390 -0.8630 -3.9937 Mg
-7.4088 -2.5723 2.9115 Mg
-7.1462 -3.0187 -1.8328 Be
-3.1379 -1.0213 -1.0758 Be
-5.5017 -0.4166 0.7507 Be
-9.5100 -2.4141 -0.0063 Be
-5.0532 -3.0798 0.8719 I
-7.5947 -0.3555 -1.9541 I
-7.7847 -4.3264 -2.5948 O
-2.5114 0.4301 -0.6291 O
-4.8631 0.8911 1.5126 O
-10.1365 -3.8654 -0.4531 O
-6.5502 -1.8127 -2.7658 O
-3.8261 -1.1271 -2.5574 O
-6.0976 -1.6226 1.6836 O
-8.8218 -2.3082 1.4753 O
-5.9256 -3.6037 -0.9079 O
-4.2802 -1.3693 0.0473 O
-6.7222 0.1684 -0.1743 O
-8.3677 -2.0660 -1.1294 O
```

Values from the calculation:
E, eV for the cell shown: -113.60
SG: C2/c
Density of states at the Fermi level, states/eV per atom: 0.37

---

# 3
A relaxed MgBeI2O crystal. Source: the Alexandria database, functional PBE.

```
MgBeI2O
1.0
5.7080 0.0000 0.0000
0.0000 5.7080 0.0000
0.0000 0.0000 3.7636
I Be Mg O
2 1 1 1
Cartesian
0.0000 2.8540 0.0000 I
2.8540 0.0000 0.0000 I
2.8540 2.8540 1.8818 Be
0.0000 0.0000 0.0000 Mg
0.0000 0.0000 1.8818 O
```

Values from the calculation:
E above lowest polymorph, meV per atom: 745
E, eV for the cell shown: -13.69
SG: P4/mmm
Density of states at the Fermi level, states/eV per atom: 0.87